Compound: CsRb2BeP2
Source: Alexandria via LeMat-Bulk
Functional: PBE-GGA
Structure: relaxed

The size of the total moment is 0.00 μB per formula unit. The calculation puts the energy of formation from the pure elements at -0.1859 eV per atom.

a = 8.0423 Å, b = 17.8498 Å, c = 7.2758 Å
α = 90.00°, β = 90.00°, γ = 90.00°
With the nearest neighbours (Å) after each atom.
Space group Ibam (No. 72)
Asymmetric unit:
Cs 0.0000 0.0000 0.2500 (multiplicity 4)  4 P 3.56, 2 Cs 3.64
Rb 0.1639 0.3393 0.0000 (multiplicity 8)  2 P 3.25-3.49, 2 Be 3.64
Be 0.0000 0.5000 0.2500 (multiplicity 4)  4 P 2.17
P 0.1274 0.4658 0.5000 (multiplicity 8)  2 Be 2.17, 1 P 2.38

Compound: CsBeP2S
Source: Alexandria via LeMat-Bulk
Functional: PBE-GGA
Structure: relaxed

The uncorrected formation energy comes out at 2.246 eV per atom. The size of the total moment is 5.84 μB per formula unit. The energy above the most stable polymorph in this dataset is 1838.3 meV per atom.

a = 6.1836 Å, b = 6.1836 Å, c = 5.5176 Å
α = 90.00°, β = 90.00°, γ = 90.00°
With the nearest neighbours (Å) after each atom.
Space group P4/mmm (No. 123)
Asymmetric unit:
Cs 0.0000 0.0000 0.0000 (multiplicity 1)  2 S 2.76
Be 0.5000 0.5000 0.5000 (multiplicity 1)  8 P 4.14, 4 S 4.37
P 0.0000 0.5000 0.0000 (multiplicity 2)  2 Cs 3.09
S 0.0000 0.0000 0.5000 (multiplicity 1)  2 Cs 2.76

Compound: CsBeP2S8
Source: Alexandria via LeMat-Bulk
Functional: PBE-GGA
Structure: relaxed

The uncorrected formation energy comes out at -0.203 eV per atom. The size of the total moment is 1.18 μB per formula unit.

a = 5.4663 Å, b = 5.4663 Å, c = 11.7022 Å
α = 90.00°, β = 90.00°, γ = 120.00°
With the nearest neighbours (Å) after each atom.
Space group P-3 (No. 147)
Asymmetric unit:
Cs 0.0000 0.0000 0.0000 (multiplicity 1)  6 S 3.54
Be 0.0000 0.0000 0.5000 (multiplicity 1)  6 S 2.31
P 0.3333 0.6667 0.6942 (multiplicity 2)  4 S 1.98-2.10
S 0.0234 0.6944 0.3705 (multiplicity 6)  1 P 2.10, 1 Be 2.31
S 0.3333 0.6667 0.8633 (multiplicity 2)  1 P 1.98

Compound: CsBeP2S
Source: Alexandria via LeMat-Bulk
Functional: PBE-GGA
Structure: relaxed

The uncorrected formation energy comes out at 0.408 eV per atom. The size of the total moment is 0.00 μB per formula unit. The energy above the most stable polymorph in this dataset is 0.0 meV per atom.

a = 4.5870 Å, b = 4.5870 Å, c = 4.9800 Å
α = 90.00°, β = 90.00°, γ = 90.00°
With the nearest neighbours (Å) after each atom.
Space group P4/mmm (No. 123)
Asymmetric unit:
Cs 0.0000 0.0000 0.0000 (multiplicity 1)  4 S 3.24, 8 P 3.39
Be 0.5000 0.5000 0.5000 (multiplicity 1)  4 P 2.29, 2 S 2.49
P 0.0000 0.5000 0.5000 (multiplicity 2)  2 Be 2.29
S 0.5000 0.5000 0.0000 (multiplicity 1)  2 Be 2.49

Compound: Cs2SrBeP2
Source: Alexandria via LeMat-Bulk
Functional: PBE-GGA
Structure: relaxed

The size of the total moment is 0.00 μB per formula unit. The calculation puts the energy of formation from the pure elements at -0.4075 eV per atom.

a = 6.9565 Å, b = 16.4447 Å, c = 6.7744 Å
α = 90.00°, β = 90.00°, γ = 90.00°
With the nearest neighbours (Å) after each atom.
Space group Ibam (No. 72)
Asymmetric unit:
Cs 0.2099 0.1733 0.0000 (multiplicity 8)  1 P 3.27, 2 Be 3.62
Sr 0.0000 0.5000 0.2500 (multiplicity 4)  4 P 2.97
Be 0.0000 0.0000 0.2500 (multiplicity 4)  4 P 2.38
P 0.1843 0.0647 0.5000 (multiplicity 8)  2 Be 2.38

Compound: CsBeTl2P
Source: Alexandria via LeMat-Bulk
Functional: PBE-GGA
Structure: relaxed

The size of the total moment is 0.64 μB per formula unit. The calculation puts the energy of formation from the pure elements at 0.6146 eV per atom.

a = 5.0602 Å, b = 5.0602 Å, c = 5.9637 Å
α = 90.00°, β = 90.00°, γ = 90.00°
With the nearest neighbours (Å) after each atom.
Space group P4/mmm (No. 123)
Asymmetric unit:
Cs 0.0000 0.0000 0.0000 (multiplicity 1)  2 Be 2.98
Be 0.0000 0.0000 0.5000 (multiplicity 1)  4 Tl 2.53
Tl 0.0000 0.5000 0.5000 (multiplicity 2)  2 Be 2.53
P 0.5000 0.5000 0.0000 (multiplicity 1)  4 Cs 3.58, 8 Tl 3.91

Compound: CsPaBeS4
Source: Alexandria via LeMat-Bulk
Functional: PBE-GGA
Structure: relaxed

The uncorrected formation energy comes out at -1.406 eV per atom. The size of the total moment is 0.00 μB per formula unit.

a = 6.1644 Å, b = 6.4973 Å, c = 9.4218 Å
α = 90.00°, β = 108.33°, γ = 90.00°
With the nearest neighbours (Å) after each atom.
Space group P2_1/m (No. 11)
Asymmetric unit:
Cs 0.2052 0.2500 0.4450 (multiplicity 2)  8 S 3.41-3.79
Pa 0.3141 0.7500 0.0515 (multiplicity 2)  6 S 2.61-2.77
Be 0.1298 0.2500 0.8488 (multiplicity 2)  4 S 2.09-2.12
S 0.1306 0.2500 0.0704 (multiplicity 2)  1 Be 2.09
S 0.2043 0.7500 0.2972 (multiplicity 2)  1 Be 2.09
S 0.3274 0.5016 0.8152 (multiplicity 4)  1 Be 2.12

Compound: Cs2PaBe2S6
Source: Alexandria via LeMat-Bulk
Functional: PBE-GGA
Structure: relaxed

The uncorrected formation energy comes out at -1.133 eV per atom. The size of the total moment is 0.00 μB per formula unit.

a = 7.1239 Å, b = 7.1239 Å, c = 21.8690 Å
α = 90.00°, β = 90.00°, γ = 120.00°
With the nearest neighbours (Å) after each atom.
Space group R-3m (No. 166, hexagonal axes)
Asymmetric unit:
Cs 0.0000 0.0000 0.2178 (multiplicity 6)  9 S 3.69-3.82, 1 Be 4.03
Pa 0.0000 0.0000 0.0000 (multiplicity 3)  6 S 2.64
Be 0.0000 0.0000 0.4021 (multiplicity 6)  3 S 2.00
S 0.0095 0.5047 0.2612 (multiplicity 18)  1 Be 2.00

Compound: Cs2PaBeSe4
Source: Alexandria via LeMat-Bulk
Functional: PBE-GGA
Structure: relaxed

The uncorrected formation energy comes out at -1.074 eV per atom. The size of the total moment is 1.01 μB per formula unit.

a = 6.2721 Å, b = 15.1709 Å, c = 26.9407 Å
α = 90.00°, β = 90.00°, γ = 90.00°
With the nearest neighbours (Å) after each atom.
Space group Fddd (No. 70, origin choice 2)
Asymmetric unit:
Cs 0.1250 0.1250 0.3029 (multiplicity 16)  6 Se 3.77-4.15
Pa 0.1250 0.1250 0.1250 (multiplicity 8)  4 Se 2.69
Be 0.1250 0.1250 0.6250 (multiplicity 8)  4 Se 2.32
Se 0.0785 0.2831 0.8249 (multiplicity 32)  1 Be 2.32

Compound: Cs2PaBeSe5
Source: Alexandria via LeMat-Bulk
Functional: PBE-GGA
Structure: relaxed

The uncorrected formation energy comes out at -1.072 eV per atom. The size of the total moment is 0.98 μB per formula unit.

a = 4.1711 Å, b = 21.1338 Å, c = 15.0918 Å
α = 90.00°, β = 90.00°, γ = 90.00°
With the nearest neighbours (Å) after each atom.
Space group Cmc2_1 (No. 36)
Asymmetric unit:
Cs 0.0000 0.1234 0.0000 (multiplicity 4)  6 Se 3.61-3.81
Cs 0.0000 0.1273 0.3615 (multiplicity 4)  7 Se 3.59-3.89
Pa 0.0000 0.1994 0.6898 (multiplicity 4)  6 Se 2.63-2.86
Be 0.0000 0.4139 0.0996 (multiplicity 4)  2 Se 2.15-2.28
Se 0.0000 0.0668 0.6753 (multiplicity 4)  2 Be 2.41
Se 0.0000 0.3068 0.3129 (multiplicity 4)  2 Pa 2.80
Se 0.0000 0.3097 0.0605 (multiplicity 4)  1 Be 2.28
Se 0.0000 0.3235 0.6803 (multiplicity 4)  1 Pa 2.63
Se 0.0000 0.4815 0.9935 (multiplicity 4)  1 Be 2.15

Compound: CsBe3Pb
Source: Alexandria via LeMat-Bulk
Functional: PBE-GGA
Structure: relaxed

The size of the total moment is 0.00 μB per formula unit. The calculation puts the energy of formation from the pure elements at 2.2517 eV per atom. The energy above the most stable polymorph in this dataset is 985.6 meV per atom.

a = 5.4013 Å, b = 5.4013 Å, c = 5.4013 Å
α = 90.00°, β = 90.00°, γ = 90.00°
With the nearest neighbours (Å) after each atom.
Space group Pm-3m (No. 221)
Asymmetric unit:
Cs 0.0000 0.0000 0.0000 (multiplicity 1)  6 Be 2.70
Be 0.0000 0.0000 0.5000 (multiplicity 3)  2 Cs 2.70
Pb 0.5000 0.5000 0.5000 (multiplicity 1)  12 Be 3.82

Compound: CsBe3Pb
Source: Alexandria via LeMat-Bulk
Functional: PBE-GGA
Structure: relaxed

The size of the total moment is 0.07 μB per formula unit. The calculation puts the energy of formation from the pure elements at 1.2660 eV per atom. The energy above the most stable polymorph in this dataset is 0.0 meV per atom.

a = 5.1583 Å, b = 5.1583 Å, c = 5.1583 Å
α = 90.00°, β = 90.00°, γ = 90.00°
With the nearest neighbours (Å) after each atom.
Space group Pm-3m (No. 221)
Asymmetric unit:
Cs 0.0000 0.0000 0.0000 (multiplicity 1)  12 Be 3.65
Be 0.0000 0.5000 0.5000 (multiplicity 3)  2 Pb 2.58
Pb 0.5000 0.5000 0.5000 (multiplicity 1)  6 Be 2.58

Compound: CsBePd2Pb
Source: Alexandria via LeMat-Bulk
Functional: PBE-GGA
Structure: relaxed

The size of the total moment is 0.00 μB per formula unit. The calculation puts the energy of formation from the pure elements at 0.5063 eV per atom.

a = 5.4252 Å, b = 5.4252 Å, c = 4.7411 Å
α = 90.00°, β = 90.00°, γ = 90.00°
With the nearest neighbours (Å) after each atom.
Space group P4/mmm (No. 123)
Asymmetric unit:
Cs 0.0000 0.0000 0.0000 (multiplicity 1)  8 Pd 3.60, 4 Be 3.84
Be 0.5000 0.5000 0.0000 (multiplicity 1)  2 Pb 2.37
Pd 0.0000 0.5000 0.5000 (multiplicity 2)  2 Pb 2.71
Pb 0.5000 0.5000 0.5000 (multiplicity 1)  2 Be 2.37

Compound: Cs2Be2PbSe4
Source: Alexandria via LeMat-Bulk
Functional: PBE-GGA
Structure: relaxed

The uncorrected formation energy comes out at -0.841 eV per atom. The size of the total moment is 0.00 μB per formula unit.

a = 16.2214 Å, b = 4.0905 Å, c = 8.5046 Å
α = 90.00°, β = 111.16°, γ = 90.00°
With the nearest neighbours (Å) after each atom.
Space group C2/m (No. 12)
Asymmetric unit:
Cs 0.1307 0.0000 0.0301 (multiplicity 4)  6 Se 3.56-3.72
Be 0.1775 0.5000 0.4665 (multiplicity 4)  4 Se 2.20-2.43
Pb 0.0000 0.0000 0.5000 (multiplicity 2)  6 Se 3.05-3.15
Se 0.0431 0.5000 0.2752 (multiplicity 4)  1 Be 2.20
Se 0.2079 0.0000 0.6330 (multiplicity 4)  3 Be 2.30-2.43

Compound: CsBeSnPb2
Source: Alexandria via LeMat-Bulk
Functional: PBE-GGA
Structure: relaxed

The size of the total moment is 0.00 μB per formula unit. The calculation puts the energy of formation from the pure elements at 0.4936 eV per atom.

a = 5.2558 Å, b = 5.2558 Å, c = 5.7869 Å
α = 90.00°, β = 90.00°, γ = 90.00°
With the nearest neighbours (Å) after each atom.
Space group P4/mmm (No. 123)
Asymmetric unit:
Cs 0.0000 0.0000 0.0000 (multiplicity 1)  2 Be 2.89
Be 0.0000 0.0000 0.5000 (multiplicity 1)  4 Pb 2.63, 2 Cs 2.89
Sn 0.5000 0.5000 0.0000 (multiplicity 1)  4 Cs 3.72, 8 Pb 3.91
Pb 0.0000 0.5000 0.5000 (multiplicity 2)  2 Be 2.63

Compound: CsBe3Pd
Source: Alexandria via LeMat-Bulk
Functional: PBE-GGA
Structure: relaxed

The size of the total moment is 0.00 μB per formula unit. The calculation puts the energy of formation from the pure elements at 0.5447 eV per atom. The energy above the most stable polymorph in this dataset is 0.0 meV per atom.

a = 4.6393 Å, b = 4.6393 Å, c = 4.6393 Å
α = 90.00°, β = 90.00°, γ = 90.00°
With the nearest neighbours (Å) after each atom.
Space group Pm-3m (No. 221)
Asymmetric unit:
Cs 0.0000 0.0000 0.0000 (multiplicity 1)  12 Be 3.28
Be 0.0000 0.5000 0.5000 (multiplicity 3)  2 Pd 2.32
Pd 0.5000 0.5000 0.5000 (multiplicity 1)  6 Be 2.32

Compound: CsBe3Pd
Source: Alexandria via LeMat-Bulk
Functional: PBE-GGA
Structure: relaxed

The size of the total moment is 0.00 μB per formula unit. The calculation puts the energy of formation from the pure elements at 2.6047 eV per atom. The energy above the most stable polymorph in this dataset is 2060.0 meV per atom.

a = 4.9403 Å, b = 4.9403 Å, c = 4.9403 Å
α = 90.00°, β = 90.00°, γ = 90.00°
With the nearest neighbours (Å) after each atom.
Space group Pm-3m (No. 221)
Asymmetric unit:
Cs 0.0000 0.0000 0.0000 (multiplicity 1)  6 Be 2.47
Be 0.0000 0.0000 0.5000 (multiplicity 3)  2 Cs 2.47
Pd 0.5000 0.5000 0.5000 (multiplicity 1)  12 Be 3.49

Compound: CsRbBePd2
Source: Alexandria via LeMat-Bulk
Functional: PBE-GGA
Structure: relaxed

The size of the total moment is 0.00 μB per formula unit. The calculation puts the energy of formation from the pure elements at 1.3642 eV per atom.

a = 5.5245 Å, b = 5.5245 Å, c = 7.0193 Å
α = 90.00°, β = 90.00°, γ = 90.00°
With the nearest neighbours (Å) after each atom.
Space group P4/mmm (No. 123)
Asymmetric unit:
Cs 0.0000 0.0000 0.0000 (multiplicity 1)  4 Pd 2.76
Rb 0.0000 0.0000 0.5000 (multiplicity 1)  2 Cs 3.51, 4 Be 3.91
Be 0.5000 0.5000 0.5000 (multiplicity 1)  4 Rb 3.91
Pd 0.0000 0.5000 0.0000 (multiplicity 2)  2 Cs 2.76

Compound: CsBePdS2
Source: Alexandria via LeMat-Bulk
Functional: PBE-GGA
Structure: relaxed

The uncorrected formation energy comes out at -0.629 eV per atom. The size of the total moment is 0.00 μB per formula unit.

a = 3.6657 Å, b = 7.6362 Å, c = 7.8769 Å
α = 90.00°, β = 90.00°, γ = 90.00°
With the nearest neighbours (Å) after each atom.
Space group Pccm (No. 49)
Asymmetric unit:
Cs 0.0000 0.0000 0.2500 (multiplicity 2)  4 S 3.37, 2 Cs 3.67
Be 0.0000 0.5000 0.0000 (multiplicity 2)  2 S 2.05
Pd 0.5000 0.5000 0.2500 (multiplicity 2)  4 S 2.50, 4 Be 2.69
S 0.3879 0.3064 0.0000 (multiplicity 4)  1 Be 2.05

Compound: Cs2PmBe2S4
Source: Alexandria via LeMat-Bulk
Functional: PBE-GGA
Structure: relaxed

The uncorrected formation energy comes out at -1.194 eV per atom. The size of the total moment is 0.00 μB per formula unit.

a = 15.0035 Å, b = 3.7996 Å, c = 8.3855 Å
α = 90.00°, β = 110.74°, γ = 90.00°
With the nearest neighbours (Å) after each atom.
Space group C2/m (No. 12)
Asymmetric unit:
Cs 0.1336 0.0000 0.0425 (multiplicity 4)  6 S 3.39-3.55
Pm 0.0000 0.0000 0.5000 (multiplicity 2)  6 S 2.86-2.88
Be 0.1732 0.5000 0.4692 (multiplicity 4)  4 S 2.08-2.25
S 0.0395 0.5000 0.2782 (multiplicity 4)  1 Be 2.08
S 0.2052 0.0000 0.6224 (multiplicity 4)  3 Be 2.21-2.25